(1)
First-principles (PBE) data for an optimized crystal structure of KLaTlHg, as listed in Alexandria via LeMat-Bulk.

```
KLaTlHg
1.0
-2.0688 -0.4562 5.2414
-5.2994 -1.7989 0.8006
-0.9445 -5.1077 2.2314
Tl K La Hg
1 1 1 1
direct
0.0000 0.0000 0.0000 Tl
0.7500 0.7500 0.7500 K
0.2500 0.2500 0.2500 La
0.5000 0.5000 0.5000 Hg
```

Summary:
E_tot, eV/atom: -2.380
Magnetic moment, μB/atom: 0.000
ρ, g cm⁻³: 7.58
Energy of formation, eV/atom: -0.206



(2)
First-principles (PBE) data for an optimized crystal structure of SrY2TiW, as listed in Alexandria via LeMat-Bulk.

```
SrY2TiW
1.0
-3.2394 0.4429 -4.5779
-2.9873 -3.1905 1.8053
-2.9196 4.1286 2.4654
Sr W Y Ti
1 1 2 1
direct
0.5000 0.5000 0.5000 Sr
0.0000 0.5000 0.0000 W
0.5000 0.0000 0.0000 Y
0.0000 0.0000 0.5000 Y
0.0000 0.0000 0.0000 Ti
```

Summary:
E_tot, eV/atom: -6.272
Magnetic moment, μB/atom: 0.358
ρ, g cm⁻³: 5.52
Energy of formation, eV/atom: 0.820



(3)
First-principles (PBE) data for an optimized crystal structure of SnHRh, as listed in Alexandria via LeMat-Bulk.

```
SnHRh
1.0
-1.2781 2.2856 2.0435
-1.2784 -3.0650 -0.0711
2.6426 -1.1710 2.9626
Sn Rh H
1 1 1
direct
0.0000 0.0000 0.0003 Sn
0.6667 0.3333 0.5003 Rh
0.3333 0.6667 0.4994 H
```

Summary:
E_tot, eV/atom: -5.014
Magnetic moment, μB/atom: 0.000
ρ, g cm⁻³: 9.35
Relative energy among the computed polymorphs, meV per atom: 13



> E_tot of number 2 (SrY2TiW)?

-6.272 eV/atom



Repeat the second record exactly.
First-principles (PBE) data for an optimized crystal structure of SrY2TiW, as listed in Alexandria via LeMat-Bulk.

```
SrY2TiW
1.0
-3.2394 0.4429 -4.5779
-2.9873 -3.1905 1.8053
-2.9196 4.1286 2.4654
Sr W Y Ti
1 1 2 1
direct
0.5000 0.5000 0.5000 Sr
0.0000 0.5000 0.0000 W
0.5000 0.0000 0.0000 Y
0.0000 0.0000 0.5000 Y
0.0000 0.0000 0.0000 Ti
```

Summary:
E_tot, eV/atom: -6.272
Magnetic moment, μB/atom: 0.358
ρ, g cm⁻³: 5.52
Energy of formation, eV/atom: 0.820



> The lowest E_tot belongs to which entry?

SrY2TiW